VASP calculation (SCAN) on KAsP2 at its PBEsol-relaxed geometry.

Output
M_tot ... 0.00 Bohr magnetons per cell
Final energy ... -12.26 eV/atom
Formation energy from the elements ... 0.07 eV per atom

Cell lengths 2.902, 4.648, 5.971 Å; angles 90.00, 90.00, 90.00 degrees
Space group Pmm2 (No. 25)
One atom of each set of equivalent atoms:
K  0.000  0.000  0.000 [1 per cell]
As  0.500  0.500  0.311 [1 per cell]
P  0.500  0.000  0.516 [1 per cell]
P  0.500  0.500  0.694 [1 per cell]